Record 1
VASP calculation (GGA-PBE) on a relaxed CaZr2Sc crystal.

```
CaZr2Sc
1.0
5.792 -0.002 -0.012
4.894 3.098 -0.012
0.819 0.237 5.780
Zr Ca Sc
2 1 1
Direct
0.507 0.507 0.471 Zr
0.993 0.993 0.029 Zr
0.750 0.750 0.750 Ca
0.250 0.250 0.250 Sc
```

Output
Symmetry: C2/m (12)
Fermi-level density of states, states/eV/cell: 5.696
Energy relative to the lowest polymorph listed for this composition, meV per atom: 71


Record 2
VASP calculation (GGA-PBE) on a relaxed Ca2ZrSc crystal.

```
Ca2ZrSc
1.0
6.774 0.001 0.000
3.213 5.963 0.000
-4.126 -4.435 3.032
Zr Sc Ca
1 1 2
Direct
0.270 0.770 0.500 Zr
0.479 0.479 0.000 Sc
0.013 0.013 0.000 Ca
0.739 0.239 0.500 Ca
```

Output
Symmetry: Imm2 (44)
Fermi-level density of states, states/eV/cell: 5.349
Energy relative to the lowest polymorph listed for this composition, meV per atom: 178


Record 3
VASP calculation (GGA-PBE) on a relaxed Ca2ZrSc crystal.

```
Ca2ZrSc
1.0
6.741 -0.004 0.005
3.461 5.784 -0.005
-4.433 -4.068 3.039
Zr Ca Sc
1 2 1
Direct
0.250 0.750 0.500 Zr
0.001 0.001 0.000 Ca
0.499 0.499 0.000 Ca
0.750 0.250 0.500 Sc
```

Output
Symmetry: Immm (71)
Fermi-level density of states, states/eV/cell: 5.858
Energy relative to the lowest polymorph listed for this composition, meV per atom: 212


Record 4
VASP calculation (GGA-PBE) on a relaxed CaZr2Sc crystal.

```
CaZr2Sc
1.0
3.351 0.000 0.000
0.000 5.407 0.000
0.000 0.000 5.702
Zr Sc Ca
2 1 1
Direct
0.500 0.500 0.000 Zr
0.000 0.000 0.000 Zr
0.000 0.500 0.500 Sc
0.500 0.000 0.500 Ca
```

Output
Symmetry: Pmmm (47)
Fermi-level density of states, states/eV/cell: 6.773
Energy relative to the lowest polymorph listed for this composition, meV per atom: 176


| no. | ΔE_f (kJ/mol of atoms) |
| --- | --- |
| 1 | 22.1 |
| 2 | 31.6 |
| 3 | 34.9 |
| 4 | 32.2 |